(1)
Computed, not measured: a geometry-optimized RbLiSeBr2 structure at the PBE level of DFT.

Unit cell a=5.5194 b=5.5194 c=4.9991 alpha=90.00 beta=90.00 gamma=90.00
Site moments in Bohr magnetons follow the coordinates.
Atoms (fractional coordinates):
Br 0.5000 0.0000 0.0000  0.21
Br 0.0000 0.5000 0.0000  0.21
Rb 0.5000 0.5000 0.5000  0.00
Li 0.0000 0.0000 0.0000  0.00
Se 0.0000 0.0000 0.5000  0.90

Space-group type: P4/mmm, No. 123
ρ: 3.6 g/cm³
Energy relative to the elements, uncorrected: -850 meV per atom
Offset from the most stable computed form: 0.000 eV/atom

(2)
Computed, not measured: a geometry-optimized ScAgW2Se structure at the PBE level of DFT.

Unit cell a=4.6544 b=4.8537 c=4.6544 alpha=90.00 beta=90.00 gamma=90.00
Atoms (fractional coordinates):
Se 0.0000 0.0000 0.0000
Ag 0.0000 0.5000 0.0000
Sc 0.5000 0.5000 0.5000
W 0.0000 0.0000 0.5000
W 0.5000 0.0000 0.0000

Space-group type: P4/mmm, No. 123
ρ: 9.5 g/cm³
Energy relative to the elements, uncorrected: 1092 meV per atom

(3)
Computed, not measured: a geometry-optimized KGaC structure at the PBE level of DFT.

Unit cell a=10.2394 b=10.2394 c=7.8411 alpha=49.24 beta=49.24 gamma=90.00
Atoms (fractional coordinates):
C 0.0000 0.2614 0.0000
C 0.2614 0.0000 0.0000
C 0.0000 0.7386 0.0000
C 0.7386 0.0000 0.0000
Ga 0.8662 0.8662 0.0000
Ga 0.1338 0.1338 0.0000
Ga 0.8662 0.1338 0.0000
Ga 0.1338 0.8662 0.0000
K 0.8214 0.5000 0.0000
K 0.1786 0.5000 0.0000
K 0.5000 0.8214 0.0000
K 0.5000 0.1786 0.0000

Calculated formation energy: 0.64 eV per atom
Space-group type: I4/mmm, No. 139
ρ: 2.5 g/cm³

(4)
Computed, not measured: a geometry-optimized Na2IrO3 structure at the PBE level of DFT.

Unit cell a=5.5306 b=5.5306 c=5.6414 alpha=80.37 beta=80.37 gamma=119.89
Site moments in Bohr magnetons follow the coordinates.
Atoms (fractional coordinates):
O 0.2975 0.2975 0.2067  0.10
O 0.9309 0.5615 0.2039  0.11
O 0.4385 0.0691 0.7961  0.11
O 0.5615 0.9309 0.2039  0.11
O 0.7025 0.7025 0.7933  0.10
O 0.0691 0.4385 0.7961  0.11
Ir 0.6669 0.3331 0.0000  0.63
Ir 0.3331 0.6669 0.0000  0.63
Na 0.1604 0.8396 0.5000  0.00
Na 0.5000 0.5000 0.5000  0.00
Na 0.0000 0.0000 0.0000  0.01
Na 0.8396 0.1604 0.5000  0.00

Space-group type: C2/m, No. 12
ρ: 6.7 g/cm³
Energy relative to the elements, uncorrected: -1191 meV per atom
Offset from the most stable computed form: 0.000 eV/atom

| no. | density of states at the Fermi level (states/eV/atom) | raw total energy (eV/atom) | magnetic moment (μB per cell) |
| --- | --- | --- | --- |
| 1 | 0.40 | -2.79 | 2.0 |
| 2 | 1.52 | -6.62 | 0.0 |
| 3 | 0.29 | -3.81 | 0.0 |
| 4 | 0.50 | -5.59 | 2.1 |